1.
A relaxed NdAl2PdAu4 crystal, computed with PBE.

Cell and atoms, written as CIF:
```
data_NdAl2PdAu4
_symmetry_space_group_name_H-M 'R -3 m'
_symmetry_Int_Tables_number 166
_symmetry_space_group_name_Hall '-R 3 2"'
_cell_length_a 4.4279
_cell_length_b 4.4279
_cell_length_c 27.6678
_cell_angle_alpha 90.00
_cell_angle_beta 90.00
_cell_angle_gamma 120.00
loop_
_atom_site_label
_atom_site_fract_x
_atom_site_fract_y
_atom_site_fract_z
Nd1 0.0000 0.0000 0.0000
Al1 0.0000 0.0000 0.2301
Pd1 0.0000 0.0000 0.5000
Au1 0.0000 0.0000 0.1234
Au2 0.0000 0.0000 0.3971
```

Results
Total moment = 0.00 μB per cell
Crystal system = trigonal
E = -34.7 eV/f.u.
ΔH_f (0 K) = -0.523 eV per atom
Density of states at the Fermi level = 10.58 states/eV/cell

---

2.
A relaxed NdAl4Pd2Au crystal, computed with PBE.

Cell and atoms, written as CIF:
```
data_NdAl4Pd2Au
_symmetry_space_group_name_H-M 'R -3 m'
_symmetry_Int_Tables_number 166
_symmetry_space_group_name_Hall '-R 3 2"'
_cell_length_a 4.3126
_cell_length_b 4.3126
_cell_length_c 27.4752
_cell_angle_alpha 90.00
_cell_angle_beta 90.00
_cell_angle_gamma 120.00
loop_
_atom_site_label
_atom_site_fract_x
_atom_site_fract_y
_atom_site_fract_z
Nd1 0.0000 0.0000 0.0000
Al1 0.0000 0.0000 0.1270
Al2 0.0000 0.0000 0.4029
Pd1 0.0000 0.0000 0.2421
Au1 0.0000 0.0000 0.5000
```

Results
Total moment = 0.00 μB per cell
Crystal system = trigonal
E = -38.6 eV/f.u.
ΔH_f (0 K) = -0.646 eV per atom
Density of states at the Fermi level = 9.57 states/eV/cell

---

Which of these has the highest ΔH_f (0 K)? NdAl2PdAu4

---

The highest density of states at the Fermi level belongs to which entry? NdAl2PdAu4

---

The lowest ΔH_f (0 K) belongs to which entry? NdAl4Pd2Au